This record from the Alexandria database describes a relaxed structure of YCuMo3. The functional is PBE.

```
5
Lattice="4.7785 0.0000 0.0000 0.0000 4.7785 0.0000 0.0000 0.0000 4.7785" Properties=species:S:1:pos:R:3 pbc="T T T"
Y 0.0000 0.0000 0.0000
Mo 0.0000 2.3893 0.0000
Mo 0.0000 0.0000 2.3893
Mo 2.3893 0.0000 0.0000
Cu 2.3893 2.3893 2.3893
```

Calculated values
energy above the most stable polymorph in this dataset	1.380	eV per atom
total DFT energy (no corrections)	-29.86	eV for the cell shown
SG	No. 221
ΔE_f	2639	meV/atom
volume	109.11	Å³/f.u.
magnetic moment	0.00	μB per formula unit